# 1
First-principles (PBE-GGA) data for a relaxed Nd2AlPd6 crystal, as listed in the Alexandria database.

a = 6.6809 Å, b = 6.6809 Å, c = 6.6809 Å
α = 51.96°, β = 51.96°, γ = 51.96°
Atoms (fractional coordinates):
Nd1 0.2321 0.2321 0.2321
Nd2 0.7679 0.7679 0.7679
Al1 0.5000 0.5000 0.5000
Pd1 0.2275 0.2275 0.7414
Pd2 0.2275 0.7414 0.2275
Pd3 0.2586 0.7725 0.7725
Pd4 0.7414 0.2275 0.2275
Pd5 0.7725 0.2586 0.7725
Pd6 0.7725 0.7725 0.2586

Properties
total DFT energy (no corrections)	-52.01	eV per cell
formation energy	-0.841	eV per atom
space group	R-3m (166)
total magnetization	0.000	μB/cell
relative energy among the computed polymorphs	0.000	eV/atom

# 2
First-principles (PBE-GGA) data for a relaxed Nd3AlPd crystal, as listed in the Alexandria database.

a = 6.8785 Å, b = 6.8785 Å, c = 8.0173 Å
α = 119.90°, β = 119.90°, γ = 78.47°
Atoms (fractional coordinates):
Nd1 0.0335 0.0335 0.3276
Nd2 0.0739 0.4710 0.2480
Nd3 0.4710 0.0739 0.2480
Nd4 0.5290 0.9261 0.7520
Nd5 0.9261 0.5290 0.7520
Nd6 0.9665 0.9665 0.6724
Al1 0.4206 0.4206 0.6876
Al2 0.5794 0.5794 0.3124
Pd1 0.3259 0.3259 0.9250
Pd2 0.6741 0.6741 0.0750

Properties
total DFT energy (no corrections)	-49.91	eV per cell
formation energy	-0.343	eV per atom
space group	C2/m (12)
total magnetization	0.000	μB/cell

# 3
First-principles (PBE-GGA) data for a relaxed NdAl2Pd4 crystal, as listed in the Alexandria database.

a = 7.9199 Å, b = 7.9199 Å, c = 3.9615 Å
α = 90.00°, β = 90.00°, γ = 90.00°
Atoms (fractional coordinates):
Nd1 0.0000 0.0000 0.0000
Nd2 0.5000 0.5000 0.5000
Al1 0.2245 0.2245 0.5000
Al2 0.2755 0.7245 0.0000
Al3 0.7245 0.2755 0.0000
Al4 0.7755 0.7755 0.5000
Pd1 0.0800 0.6696 0.5000
Pd2 0.1696 0.4200 0.0000
Pd3 0.3304 0.9200 0.5000
Pd4 0.4200 0.1696 0.0000
Pd5 0.5800 0.8304 0.0000
Pd6 0.6696 0.0800 0.5000
Pd7 0.8304 0.5800 0.0000
Pd8 0.9200 0.3304 0.5000

Properties
total DFT energy (no corrections)	-77.11	eV per cell
formation energy	-0.790	eV per atom
space group	P4_2/mnm (136)
total magnetization	0.000	μB/cell

# 4
First-principles (PBE-GGA) data for a relaxed NdAl2Pd9 crystal, as listed in the Alexandria database.

a = 4.0564 Å, b = 4.0564 Å, c = 11.7791 Å
α = 90.00°, β = 90.00°, γ = 90.00°
Atoms (fractional coordinates):
Nd1 0.0000 0.0000 0.0000
Al1 0.0000 0.0000 0.3451
Al2 0.0000 0.0000 0.6549
Pd1 0.0000 0.5000 0.1879
Pd2 0.0000 0.5000 0.5000
Pd3 0.0000 0.5000 0.8121
Pd4 0.5000 0.0000 0.1879
Pd5 0.5000 0.0000 0.5000
Pd6 0.5000 0.0000 0.8121
Pd7 0.5000 0.5000 0.0000
Pd8 0.5000 0.5000 0.3422
Pd9 0.5000 0.5000 0.6578

Properties
total DFT energy (no corrections)	-66.71	eV per cell
formation energy	-0.643	eV per atom
space group	P4/mmm (123)
total magnetization	0.000	μB/cell

# 5
First-principles (PBE-GGA) data for a relaxed Nd2Al5Pd3 crystal, as listed in the Alexandria database.

a = 8.7492 Å, b = 8.7492 Å, c = 8.7492 Å
α = 106.53°, β = 86.42°, γ = 141.07°
Atoms (fractional coordinates):
Nd1 0.1402 0.2238 0.3640
Nd2 0.3598 0.7238 0.0836
Nd3 0.6402 0.2762 0.9164
Nd4 0.8598 0.7762 0.6360
Al1 0.0371 0.7500 0.2871
Al2 0.0946 0.6641 0.7588
Al3 0.2500 0.2500 0.0000
Al4 0.4054 0.1641 0.5695
Al5 0.4629 0.7500 0.7129
Al6 0.5371 0.2500 0.2871
Al7 0.5946 0.8359 0.4305
Al8 0.7500 0.7500 0.0000
Al9 0.9054 0.3359 0.2412
Al10 0.9629 0.2500 0.7129
Pd1 0.1407 0.9005 0.0412
Pd2 0.2500 0.7500 0.5000
Pd3 0.3593 0.4005 0.7598
Pd4 0.6407 0.5995 0.2402
Pd5 0.7500 0.2500 0.5000
Pd6 0.8593 0.0995 0.9588

Properties
total DFT energy (no corrections)	-103.54	eV per cell
formation energy	-0.794	eV per atom
space group	Ibam (72)
total magnetization	0.000	μB/cell
relative energy among the computed polymorphs	0.000	eV/atom

# 6
First-principles (PBE-GGA) data for a relaxed Nd3Al2Pd3 crystal, as listed in the Alexandria database.

a = 8.4414 Å, b = 8.4414 Å, c = 5.7159 Å
α = 90.00°, β = 90.00°, γ = 120.00°
Atoms (fractional coordinates):
Nd1 0.0000 0.2658 0.2500
Nd2 0.0000 0.7342 0.7500
Nd3 0.2658 0.0000 0.2500
Nd4 0.2658 0.2658 0.7500
Nd5 0.7342 0.0000 0.7500
Nd6 0.7342 0.7342 0.2500
Al1 0.3333 0.6667 0.0000
Al2 0.3333 0.6667 0.5000
Al3 0.6667 0.3333 0.0000
Al4 0.6667 0.3333 0.5000
Pd1 0.0000 0.4047 0.7500
Pd2 0.0000 0.5953 0.2500
Pd3 0.4047 0.0000 0.7500
Pd4 0.4047 0.4047 0.2500
Pd5 0.5953 0.0000 0.2500
Pd6 0.5953 0.5953 0.7500

Properties
total DFT energy (no corrections)	-85.77	eV per cell
formation energy	-0.690	eV per atom
space group	P6_3/mcm (193)
total magnetization	0.000	μB/cell